Compound: Pm4IrRh2
Source: the Alexandria database
Functional: PBE-GGA
Structure: optimized geometry

The structure in POSCAR format:
```
Pm4IrRh2
1.0
-4.4108 4.4108 4.3946
4.4108 -4.4108 4.3946
4.4108 4.4108 -4.3946
Pm Ir Rh
8 2 4
Cartesian
2.7484 -0.5327 0.5518
6.0731 0.5327 0.5518
3.8780 2.7484 -1.6456
4.9435 -1.6623 3.8429
0.5327 1.6623 2.7491
3.8780 1.6623 3.8429
1.6623 -0.5327 6.0402
2.7484 4.9435 1.6456
0.0000 0.0000 0.0000
0.0000 4.4108 2.1973
2.2054 -1.0876 3.2960
3.3231 2.2054 1.0987
2.2054 5.4984 -1.0987
1.0876 2.2054 5.4933
```

Computed properties:
crystal system = tetragonal
DFT total energy = -6.730 eV per atom
formation energy from the elements = -4.5 eV per formula unit
magnetic moment = 0.00 μB per cell